No. 1
KAl2Te4: optimized geometry, GGA-PBE.

a = 9.735 Å, b = 9.735 Å, c = 10.792 Å
α = 133.00°, β = 128.71°, γ = 63.30°
Positions (direct):
Te1 0.323 0.271 0.799
Te2 0.810 0.591 0.729
Te3 0.408 0.282 0.402
Te4 0.862 0.081 0.271
Te5 0.472 0.524 0.201
Te6 0.880 0.006 0.598
Te7 0.420 0.800 0.940
Te8 0.860 0.480 0.060
Al1 0.608 0.518 0.776
Al2 0.603 0.335 0.348
Al3 0.988 0.255 0.652
Al4 0.742 0.832 0.224
K1 0.021 0.021 0.000
K2 0.253 0.753 0.500

total moment	0.00	μB/atom
uncorrected formation energy	-52.1	kJ per mole of atoms


No. 2
ErTm3Th2: optimized geometry, GGA-PBE.

a = 3.543 Å, b = 9.935 Å, c = 10.535 Å
α = 89.95°, β = 90.00°, γ = 90.00°
Positions (direct):
Th1 0.750 0.124 0.917
Th2 0.750 0.623 0.583
Th3 0.250 0.377 0.417
Th4 0.250 0.876 0.083
Er1 0.250 0.876 0.751
Er2 0.750 0.124 0.249
Tm1 0.750 0.630 0.918
Tm2 0.250 0.870 0.418
Tm3 0.250 0.370 0.082
Tm4 0.750 0.624 0.251
Tm5 0.250 0.376 0.749
Tm6 0.750 0.130 0.582

total moment	0.00	μB/atom
ΔH_f (0 K)	0.03	eV/atom


No. 3
La2ThTl3: optimized geometry, GGA-PBE.

a = 3.618 Å, b = 3.618 Å, c = 13.882 Å
α = 90.00°, β = 90.00°, γ = 90.00°
Positions (direct):
La1 0.500 0.500 0.169
La2 0.500 0.500 0.831
Th1 0.500 0.500 0.500
Tl1 0.000 0.000 0.336
Tl2 0.000 0.000 0.000
Tl3 0.000 0.000 0.664

total moment	0.00	μB/atom
ΔH_f (0 K)	-0.32	eV/atom


Which value of total moment does entry 2 give?
0.00 μB/atom